1.
PmGa4 after structural relaxation. Source: Alexandria, functional PBE-GGA.

CIF file:
```
data_PmGa4
_cell_length_a 9.322
_cell_length_b 9.322
_cell_length_c 5.439
_cell_angle_alpha 90.00
_cell_angle_beta 90.00
_cell_angle_gamma 90.00
_symmetry_space_group_name_H-M 'P 4/m b m'
_symmetry_Int_Tables_number 127
_symmetry_space_group_name_Hall '-P 4 2ab'
loop_
_atom_site_label
_atom_site_type_symbol
_atom_site_fract_x
_atom_site_fract_y
_atom_site_fract_z
Pm1 Pm 0.149 0.351 0.000
Ga1 Ga 0.000 0.000 0.217
Ga2 Ga 0.098 0.598 0.500
Ga3 Ga 0.107 0.198 0.500
```

Values from the calculation:
Density of states at the Fermi level (states/eV/f.u.): 3.11
Volume (Å³/atom): 23.63
VASP energy (eV/cell): -69.1
Formation enthalpy at 0 K (eV/atom): -0.09

***

2.
BaSi3 after structural relaxation. Source: Alexandria, functional PBE-GGA.

CIF file:
```
data_BaSi3
_cell_length_a 3.9091
_cell_length_b 3.9091
_cell_length_c 7.2143
_cell_angle_alpha 90.00
_cell_angle_beta 90.00
_cell_angle_gamma 120.00
_symmetry_space_group_name_H-M 'P -6 m 2'
_symmetry_Int_Tables_number 187
_symmetry_space_group_name_Hall 'P -6 2'
loop_
_atom_site_label
_atom_site_type_symbol
_atom_site_fract_x
_atom_site_fract_y
_atom_site_fract_z
Ba1 Ba 0.0000 0.0000 0.0000
Si1 Si 0.0000 0.0000 0.5000
Si2 Si 0.6667 0.3333 0.3314
```

Values from the calculation:
Density of states at the Fermi level (states/eV/f.u.): 1.97
Volume (Å³/atom): 23.87
Formation energy (no corrections) (meV per atom): 74
VASP energy (eV/cell): -17.9

***

3.
Fe4ReRh after structural relaxation. Source: Alexandria, functional PBE-GGA.

CIF file:
```
data_Fe4ReRh
_cell_length_a 6.611
_cell_length_b 6.611
_cell_length_c 6.611
_cell_angle_alpha 90.00
_cell_angle_beta 90.00
_cell_angle_gamma 90.00
_symmetry_space_group_name_H-M 'F -4 3 m'
_symmetry_Int_Tables_number 216
_symmetry_space_group_name_Hall 'F -4 2 3'
loop_
_atom_site_label
_atom_site_type_symbol
_atom_site_fract_x
_atom_site_fract_y
_atom_site_fract_z
Fe1 Fe 0.125 0.125 0.125
Re1 Re 0.250 0.250 0.750
Rh1 Rh 0.000 0.000 0.500
```

Values from the calculation:
Density of states at the Fermi level (states/eV/f.u.): 3.89
Volume (Å³/atom): 12.04
VASP energy (eV/cell): -214.4
Formation enthalpy at 0 K (eV/atom): 0.01

***

4.
Pr3YTl4S8 after structural relaxation. Source: Alexandria, functional PBE-GGA.

CIF file:
```
data_Pr3YTl4S8
_cell_length_a 8.3461
_cell_length_b 8.3461
_cell_length_c 22.5001
_cell_angle_alpha 90.00
_cell_angle_beta 90.00
_cell_angle_gamma 120.00
_symmetry_space_group_name_H-M 'R -3 m'
_symmetry_Int_Tables_number 166
_symmetry_space_group_name_Hall '-R 3 2"'
loop_
_atom_site_label
_atom_site_type_symbol
_atom_site_fract_x
_atom_site_fract_y
_atom_site_fract_z
Pr1 Pr 0.0000 0.5000 0.0000
Y1 Y 0.0000 0.0000 0.0000
Tl1 Tl 0.0000 0.0000 0.5000
Tl2 Tl 0.0000 0.5000 0.5000
S1 S 0.0000 0.0000 0.2644
S2 S 0.0090 0.5045 0.7342
```

Values from the calculation:
Density of states at the Fermi level (states/eV/f.u.): 0.00
Volume (Å³/atom): 28.28
Formation energy (no corrections) (meV per atom): -1453
VASP energy (eV/cell): -259.6

***

What is the formula in the first record? PmGa4

***

Number 4 is which compound? Pr3YTl4S8

***

What is the formula in the third record? Fe4ReRh